First-principles (GGA-PBE) data for a relaxed Er2MgNi9 crystal, as listed in Alexandria via LeMat-Bulk.

Summary:
- E_form: -0.304 eV per atom

Cell: 4.9042 4.9042 8.5069 Å, 73.25 73.25 60.00°
Last column: nearest neighbours and their distance in Å.
Fractional coordinates of all 12 atoms:
Ni: 0.6670 0.6670 0.9991  6 Ni 2.42-2.43
Ni: 0.0803 0.5826 0.7545  7 Ni 2.42-2.49
Ni: 0.5826 0.0803 0.7545  7 Ni 2.42-2.49
Ni: 0.9197 0.4174 0.2455  7 Ni 2.42-2.49
Ni: 0.4174 0.4174 0.2455  7 Ni 2.42-2.49
Ni: 0.4174 0.9197 0.2455  7 Ni 2.42-2.49
Ni: 0.3330 0.3330 0.0009  6 Ni 2.42-2.43
Ni: 0.5826 0.5826 0.7545  7 Ni 2.42-2.49
Ni: 0.5000 0.5000 0.5000  6 Ni 2.49
Mg: 0.0000 0.0000 0.0000  18 Ni 2.83-3.15
Er: 0.1365 0.1365 0.5906  12 Ni 2.78-3.11
Er: 0.8635 0.8635 0.4094  12 Ni 2.78-3.11

---

First-principles (GGA-PBE) data for a relaxed Er4MgNi crystal, as listed in Alexandria via LeMat-Bulk.

Summary:
- E_form: -0.214 eV per atom
- Excess energy over the best structure of this formula in the dataset: 0.000 eV per atom

Cell: 9.5414 9.5414 9.5414 Å, 60.00 60.00 60.00°
Last column: nearest neighbours and their distance in Å.
Fractional coordinates of all 24 atoms:
Er: 0.7873 0.4042 0.4042  3 Ni 2.76
Er: 0.8151 0.1849 0.1849  2 Mg 3.26, 2 Ni 3.47, 10 Er 3.48-3.59
Er: 0.8151 0.1849 0.8151  2 Mg 3.26, 2 Ni 3.47, 10 Er 3.48-3.59
Er: 0.4042 0.4042 0.7873  3 Ni 2.76
Er: 0.8151 0.8151 0.1849  2 Mg 3.26, 2 Ni 3.47, 10 Er 3.48-3.59
Er: 0.1849 0.1849 0.8151  2 Mg 3.26, 2 Ni 3.47, 10 Er 3.48-3.59
Er: 0.4042 0.7873 0.4042  3 Ni 2.76
Er: 0.4042 0.4042 0.4042  3 Ni 2.76
Er: 0.1849 0.8151 0.8151  2 Mg 3.26, 2 Ni 3.47, 10 Er 3.48-3.59
Er: 0.5625 0.9375 0.5625  2 Ni 2.78
Er: 0.5625 0.5625 0.9375  2 Ni 2.78
Er: 0.9375 0.5625 0.5625  2 Ni 2.78
Er: 0.9375 0.9375 0.5625  2 Ni 2.78
Er: 0.1849 0.8151 0.1849  2 Mg 3.26, 2 Ni 3.47, 10 Er 3.48-3.59
Er: 0.5625 0.9375 0.9375  2 Ni 2.78
Er: 0.9375 0.5625 0.9375  2 Ni 2.78
Ni: 0.6082 0.6082 0.1754  6 Er 2.76-2.78
Ni: 0.6082 0.6082 0.6082  6 Er 2.76-2.78
Ni: 0.6082 0.1754 0.6082  6 Er 2.76-2.78
Ni: 0.1754 0.6082 0.6082  6 Er 2.76-2.78
Mg: 0.1704 0.1704 0.4889  3 Mg 3.04, 3 Er 3.26
Mg: 0.1704 0.4889 0.1704  3 Mg 3.04, 3 Er 3.26
Mg: 0.1704 0.1704 0.1704  3 Mg 3.04, 3 Er 3.26
Mg: 0.4889 0.1704 0.1704  3 Mg 3.04, 3 Er 3.26

---

First-principles (GGA-PBE) data for a relaxed ErMg2Ni9 crystal, as listed in Alexandria via LeMat-Bulk.

Summary:
- E_form: -0.280 eV per atom

Cell: 4.8431 4.8431 8.3504 Å, 73.14 73.14 60.00°
Last column: nearest neighbours and their distance in Å.
Fractional coordinates of all 12 atoms:
Mg: 0.8564 0.8564 0.4307  12 Ni 2.80-2.85, 3 Mg 3.00
Mg: 0.1436 0.1436 0.5693  12 Ni 2.80-2.85, 3 Mg 3.00
Ni: 0.4146 0.4146 0.2526  7 Ni 2.40-2.44
Ni: 0.5854 0.0817 0.7474  7 Ni 2.40-2.44
Ni: 0.5000 0.5000 0.5000  6 Ni 2.40
Ni: 0.4146 0.9183 0.2526  7 Ni 2.40-2.44
Ni: 0.3336 0.3336 0.9991  6 Ni 2.43
Ni: 0.6664 0.6664 0.0009  6 Ni 2.43
Ni: 0.9183 0.4146 0.2526  7 Ni 2.40-2.44
Ni: 0.0817 0.5854 0.7474  7 Ni 2.40-2.44
Ni: 0.5854 0.5854 0.7474  7 Ni 2.40-2.44
Er: 0.0000 0.0000 0.0000  6 Ni 2.80